Entry 1:
DFT (PBE-GGA) results for a relaxed TaTc crystal.

Calculated values
The calculation puts the energy relative to the elements at -0.50 eV/atom.

```
TaTc
1.0
-1.173 -2.515 -1.562
2.753 -0.308 -1.571
1.090 -1.929 2.288
Tc Ta
1 1
direct
0.500 0.500 0.500
0.000 0.000 0.000
```

Entry 2:
DFT (PBE-GGA) results for a relaxed Pr2DyTl2Zn3Cd crystal.

```
Pr2DyTl2Zn3Cd
1.0
-1.881 -4.212 -0.393
4.078 -2.350 5.676
-6.669 2.855 1.318
Pr Tl Zn Dy Cd
2 2 3 1 1
direct
0.000 0.997 0.575
0.000 0.575 0.997
0.500 0.335 0.659
0.500 0.659 0.335
0.500 0.999 0.230
0.500 0.773 0.773
0.500 0.230 0.999
0.000 0.421 0.421
0.000 0.010 0.010
```

Entry 3:
DFT (PBE-GGA) results for a relaxed NbNiGePd crystal.

Calculated values
Its energy above the most stable polymorph in this dataset is 0 meV per atom.

```
NbNiGePd
1.0
2.163 -2.204 3.110
-1.982 -0.955 3.791
-1.098 -4.143 0.916
Pd Ge Ni Nb
1 1 1 1
direct
0.500 0.500 0.500
0.000 0.000 0.000
0.750 0.750 0.750
0.250 0.250 0.250
```

Entry 4:
DFT (PBE-GGA) results for a relaxed Ta3CoB2 crystal.

```
Ta3CoB2
1.0
-1.084 1.565 -2.580
-1.793 -2.283 1.361
-7.546 12.239 10.594
B Ta Co
4 6 2
direct
0.667 0.333 0.576
0.333 0.667 0.076
0.333 0.667 0.424
0.667 0.333 0.924
0.667 0.333 0.352
0.667 0.333 0.148
0.000 0.000 0.500
0.000 0.000 0.000
0.333 0.667 0.852
0.333 0.667 0.648
0.000 0.000 0.750
0.000 0.000 0.250
```

Entry 5:
DFT (PBE-GGA) results for a relaxed Tm3Mg3AlCdHg crystal.

```
Tm3Mg3AlCdHg
1.0
7.373 0.000 0.000
-3.686 6.385 0.000
0.000 0.000 4.526
Hg Mg Al Cd Tm
1 3 1 1 3
direct
0.667 0.333 0.000
0.912 0.337 0.500
0.663 0.576 0.500
0.424 0.088 0.500
0.333 0.667 0.500
0.000 0.000 0.500
0.250 0.343 0.000
0.093 0.750 0.000
0.657 0.907 0.000
```

Entry 6:
DFT (PBE-GGA) results for a relaxed K2InAgCl6 crystal.

```
K2InAgCl6
1.0
0.000 5.208 5.208
5.208 0.000 5.208
5.208 5.208 0.000
K Cl Ag In
2 6 1 1
direct
0.250 0.250 0.250
0.750 0.750 0.750
0.256 0.744 0.744
0.744 0.744 0.256
0.744 0.256 0.744
0.744 0.256 0.256
0.256 0.744 0.256
0.256 0.256 0.744
0.000 0.000 0.000
0.500 0.500 0.500
```

Entry 7:
DFT (PBE-GGA) results for a relaxed CsGdCoTe3 crystal.

Calculated values
Its energy above the most stable polymorph in this dataset is 0 meV per atom.

```
CsGdCoTe3
1.0
10.293 0.000 0.000
0.000 4.317 0.000
-4.264 0.000 9.858
Co Cs Gd Te
2 2 2 6
direct
0.577 0.250 0.591
0.423 0.750 0.409
0.719 0.250 0.249
0.281 0.750 0.751
0.174 0.250 0.140
0.826 0.750 0.860
0.027 0.250 0.830
0.685 0.750 0.540
0.393 0.750 0.156
0.315 0.250 0.460
0.973 0.750 0.170
0.607 0.250 0.844
```

Entry 8:
DFT (PBE-GGA) results for a relaxed HfReNi crystal.

Calculated values
Its energy above the most stable polymorph in this dataset is 657 meV per atom. The calculation puts the energy relative to the elements at 0.97 eV/atom.

```
HfReNi
1.0
-3.111 -2.856 -0.813
-1.342 -2.659 3.102
-3.901 0.516 1.736
Hf Ni Re
1 1 1
direct
0.000 0.000 0.000
0.250 0.250 0.250
0.750 0.750 0.750
```

Entry 9:
DFT (PBE-GGA) results for a relaxed TaCuBPt crystal.

Calculated values
Its energy above the most stable polymorph in this dataset is 219 meV per atom.

```
TaCuBPt
1.0
1.534 -3.479 1.913
2.506 0.381 3.420
-1.451 -1.132 3.838
Pt Ta Cu B
1 1 1 1
direct
0.250 0.250 0.250
0.500 0.500 0.500
0.750 0.750 0.750
0.000 0.000 0.000
```

Entry 10:
DFT (PBE-GGA) results for a relaxed MgZnNiSe3 crystal.

Calculated values
Its energy above the most stable polymorph in this dataset is 0 meV per atom.

```
MgZnNiSe3
1.0
-1.294 -1.730 -6.219
-1.931 -4.677 -4.213
-9.964 2.997 1.239
Mg Se Zn Ni
2 6 2 2
direct
0.214 0.214 0.750
0.786 0.786 0.250
0.380 0.380 0.436
0.870 0.870 0.750
0.380 0.380 0.064
0.620 0.620 0.564
0.620 0.620 0.936
0.130 0.130 0.250
0.501 0.501 0.750
0.499 0.499 0.250
0.000 0.000 0.500
0.000 0.000 0.000
```

Entry 11:
DFT (PBE-GGA) results for a relaxed Sm3Cd3CuAg2 crystal.

Calculated values
The calculation puts the energy relative to the elements at -0.32 eV/atom.

```
Sm3Cd3CuAg2
1.0
-2.802 6.557 -2.885
-4.773 -5.225 3.014
0.374 1.771 3.663
Cd Cu Ag Sm
3 1 2 3
direct
0.000 0.758 0.500
0.758 0.000 0.500
0.242 0.242 0.500
0.000 0.000 0.000
0.333 0.667 0.500
0.667 0.333 0.500
0.595 0.595 0.000
0.405 0.000 0.000
0.000 0.405 0.000
```

Entry 12:
DFT (PBE-GGA) results for a relaxed BaNaNd crystal.

Calculated values
Its energy above the most stable polymorph in this dataset is 0 meV per atom.

```
BaNaNd
1.0
0.000 4.138 4.138
4.138 0.000 4.138
4.138 4.138 0.000
Nd Na Ba
1 1 1
direct
0.750 0.750 0.750
0.000 0.000 0.000
0.250 0.250 0.250
```

Entry 13:
DFT (PBE-GGA) results for a relaxed LuUMo crystal.

Calculated values
Its energy above the most stable polymorph in this dataset is 0 meV per atom. The calculation puts the energy relative to the elements at 0.72 eV/atom.

```
LuUMo
1.0
-0.282 2.657 3.870
-3.188 -0.998 3.310
1.381 -1.734 4.148
U Mo Lu
1 1 1
direct
0.750 0.750 0.750
0.000 0.000 0.000
0.250 0.250 0.250
```

Entry 14:
DFT (PBE-GGA) results for a relaxed InTcAgS3 crystal.

```
InTcAgS3
1.0
8.015 -1.643 0.000
8.015 1.643 0.000
0.000 0.000 9.371
S Tc In Ag
6 2 2 2
direct
0.033 0.033 0.750
0.391 0.391 0.526
0.967 0.967 0.250
0.391 0.391 0.974
0.609 0.609 0.026
0.609 0.609 0.474
0.000 0.000 0.000
0.000 0.000 0.500
0.664 0.664 0.750
0.336 0.336 0.250
0.309 0.309 0.750
0.691 0.691 0.250
```

Entry 15:
DFT (PBE-GGA) results for a relaxed CsNdNiTe3 crystal.

Calculated values
Its energy above the most stable polymorph in this dataset is 34 meV per atom.

```
CsNdNiTe3
1.0
-8.732 -1.105 2.391
7.115 -1.359 -5.543
2.829 -9.469 5.952
Te Nd Ni Cs
6 2 2 2
direct
0.937 0.063 0.250
0.619 0.381 0.417
0.381 0.619 0.917
0.063 0.937 0.750
0.381 0.619 0.583
0.619 0.381 0.083
0.000 0.000 0.000
0.000 0.000 0.500
0.477 0.523 0.750
0.523 0.477 0.250
0.738 0.262 0.750
0.262 0.738 0.250
```

Entry 16:
DFT (PBE-GGA) results for a relaxed RbLuS2O8 crystal.

```
RbLuS2O8
1.0
-4.951 -6.962 1.368
4.102 -2.685 1.180
-0.342 2.561 7.018
Rb O Lu S
2 16 2 4
direct
0.500 0.815 0.750
0.500 0.185 0.250
0.639 0.316 0.925
0.080 0.209 0.540
0.778 0.152 0.679
0.361 0.684 0.075
0.823 0.399 0.296
0.080 0.791 0.040
0.920 0.209 0.960
0.177 0.399 0.204
0.778 0.848 0.179
0.361 0.316 0.575
0.920 0.791 0.460
0.222 0.152 0.821
0.639 0.684 0.425
0.177 0.601 0.704
0.823 0.601 0.796
0.222 0.848 0.321
0.000 0.899 0.750
0.000 0.101 0.250
0.782 0.324 0.842
0.782 0.676 0.342
0.218 0.676 0.158
0.218 0.324 0.658
```

Entry 17:
DFT (PBE-GGA) results for a relaxed LaMgCdPt crystal.

```
LaMgCdPt
1.0
-0.140 4.969 2.546
-3.771 4.101 0.389
-3.239 -3.643 6.919
La Mg Cd Pt
2 2 2 2
direct
0.064 0.064 0.247
0.936 0.936 0.753
0.346 0.346 0.446
0.654 0.654 0.554
0.646 0.646 0.950
0.354 0.354 0.050
0.226 0.226 0.737
0.774 0.774 0.263
```

Entry 18:
DFT (PBE-GGA) results for a relaxed TaInGe crystal.

```
TaInGe
1.0
0.000 3.184 3.184
3.184 0.000 3.184
3.184 3.184 0.000
Ta In Ge
1 1 1
direct
0.750 0.750 0.750
0.250 0.250 0.250
0.000 0.000 0.000
```

Entry 19:
DFT (PBE-GGA) results for a relaxed TbDySn2Ir crystal.

```
TbDySn2Ir
1.0
-4.308 3.030 2.707
-1.253 1.437 5.607
7.656 6.325 -4.591
Ir Sn Tb Dy
2 4 2 2
direct
0.725 0.725 0.325
0.275 0.275 0.675
0.655 0.655 0.547
0.345 0.345 0.453
0.469 0.469 0.117
0.531 0.531 0.883
0.187 0.187 0.128
0.813 0.813 0.872
0.997 0.997 0.328
0.003 0.003 0.672
```

Entry 20:
DFT (PBE-GGA) results for a relaxed ZnCdMo4C2 crystal.

```
ZnCdMo4C2
1.0
-2.771 1.305 0.094
1.365 -0.886 2.597
5.914 12.480 1.151
Zn Mo Cd C
1 4 1 2
direct
0.667 0.333 0.500
0.667 0.333 0.823
0.000 0.000 0.344
0.000 0.000 0.656
0.667 0.333 0.177
0.000 0.000 0.000
0.333 0.667 0.260
0.333 0.667 0.740
```

Number 1: uncorrected energy -11.61 eV/atom. Number 2: uncorrected energy -2.92 eV/atom. Number 3: uncorrected energy -6.59 eV/atom. Number 4: uncorrected energy -9.70 eV/atom. Number 5: uncorrected energy -2.86 eV/atom. Number 6: uncorrected energy -3.20 eV/atom. Number 7: uncorrected energy -4.55 eV/atom. Number 8: uncorrected energy -8.35 eV/atom. Number 9: uncorrected energy -6.66 eV/atom. Number 10: uncorrected energy -3.56 eV/atom. Number 11: uncorrected energy -3.23 eV/atom. Number 12: uncorrected energy -2.07 eV/atom. Number 13: uncorrected energy -8.17 eV/atom. Number 14: uncorrected energy -4.97 eV/atom. Number 15: uncorrected energy -4.33 eV/atom. Number 16: uncorrected energy -6.54 eV/atom. Number 17: uncorrected energy -4.08 eV/atom. Number 18: uncorrected energy -5.70 eV/atom. Number 19: uncorrected energy -6.01 eV/atom. Number 20: uncorrected energy -7.97 eV/atom.